Here is a geometry-optimized SbNCl2F structure from Alexandria. Energies are from GGA-PBE.

```
data_SbNCl2F
_chemical_formula_sum 'Sb1 N1 Cl2 F1'
_symmetry_space_group_name_H-M 'P 4/m m m'
_symmetry_Int_Tables_number 123
_symmetry_space_group_name_Hall '-P 4 2'
_cell_length_a 5.135
_cell_length_b 5.135
_cell_length_c 3.975
_cell_angle_alpha 90.00
_cell_angle_beta 90.00
_cell_angle_gamma 90.00
loop_
_atom_site_label
_atom_site_fract_x
_atom_site_fract_y
_atom_site_fract_z
Sb1 0.000 0.000 0.000
N1 0.000 0.000 0.500
Cl1 0.000 0.500 0.000
F1 0.500 0.500 0.500
```

Computed properties:
- uncorrected formation energy (meV per atom) = 411

---

Here is a geometry-optimized ScN2ClF structure from Alexandria. Energies are from GGA-PBE.

```
data_ScN2ClF
_chemical_formula_sum 'Sc1 N2 Cl1 F1'
_symmetry_space_group_name_H-M 'P 4/m m m'
_symmetry_Int_Tables_number 123
_symmetry_space_group_name_Hall '-P 4 2'
_cell_length_a 4.484
_cell_length_b 4.484
_cell_length_c 3.995
_cell_angle_alpha 90.00
_cell_angle_beta 90.00
_cell_angle_gamma 90.00
loop_
_atom_site_label
_atom_site_fract_x
_atom_site_fract_y
_atom_site_fract_z
Sc1 0.000 0.000 0.000
N1 0.000 0.500 0.000
Cl1 0.500 0.500 0.500
F1 0.000 0.000 0.500
```

Computed properties:
- energy above the lowest structure with this stoichiometry (meV per atom) = 0
- uncorrected formation energy (meV per atom) = 16

---

Here is a geometry-optimized ScN2ClF structure from Alexandria. Energies are from GGA-PBE.

```
data_ScN2ClF
_chemical_formula_sum 'Sc1 N2 Cl1 F1'
_symmetry_space_group_name_H-M 'P 4/m m m'
_symmetry_Int_Tables_number 123
_symmetry_space_group_name_Hall '-P 4 2'
_cell_length_a 3.929
_cell_length_b 3.929
_cell_length_c 3.960
_cell_angle_alpha 90.00
_cell_angle_beta 90.00
_cell_angle_gamma 90.00
loop_
_atom_site_label
_atom_site_fract_x
_atom_site_fract_y
_atom_site_fract_z
Sc1 0.000 0.000 0.000
N1 0.000 0.500 0.500
Cl1 0.500 0.500 0.500
F1 0.500 0.500 0.000
```

Computed properties:
- energy above the lowest structure with this stoichiometry (meV per atom) = 735
- uncorrected formation energy (meV per atom) = 751

---

Here is a geometry-optimized SeN2ClF structure from Alexandria. Energies are from GGA-PBE.

```
data_SeN2ClF
_chemical_formula_sum 'Se1 N2 Cl1 F1'
_symmetry_space_group_name_H-M 'P 4/m m m'
_symmetry_Int_Tables_number 123
_symmetry_space_group_name_Hall '-P 4 2'
_cell_length_a 3.825
_cell_length_b 3.825
_cell_length_c 7.234
_cell_angle_alpha 90.00
_cell_angle_beta 90.00
_cell_angle_gamma 90.00
loop_
_atom_site_label
_atom_site_fract_x
_atom_site_fract_y
_atom_site_fract_z
Se1 0.000 0.000 0.000
N1 0.000 0.500 0.500
Cl1 0.500 0.500 0.000
F1 0.000 0.000 0.500
```

Computed properties:
- energy above the lowest structure with this stoichiometry (meV per atom) = 742
- uncorrected formation energy (meV per atom) = 2112

---

Here is a geometry-optimized SeN2ClF structure from Alexandria. Energies are from GGA-PBE.

```
data_SeN2ClF
_chemical_formula_sum 'Se1 N2 Cl1 F1'
_symmetry_space_group_name_H-M 'P 4/m m m'
_symmetry_Int_Tables_number 123
_symmetry_space_group_name_Hall '-P 4 2'
_cell_length_a 4.164
_cell_length_b 4.164
_cell_length_c 4.150
_cell_angle_alpha 90.00
_cell_angle_beta 90.00
_cell_angle_gamma 90.00
loop_
_atom_site_label
_atom_site_fract_x
_atom_site_fract_y
_atom_site_fract_z
Se1 0.000 0.000 0.000
N1 0.000 0.500 0.000
Cl1 0.500 0.500 0.500
F1 0.000 0.000 0.500
```

Computed properties:
- energy above the lowest structure with this stoichiometry (meV per atom) = 0
- uncorrected formation energy (meV per atom) = 1370

---

Here is a geometry-optimized SeN2ClF structure from Alexandria. Energies are from GGA-PBE.

```
data_SeN2ClF
_chemical_formula_sum 'Se1 N2 Cl1 F1'
_symmetry_space_group_name_H-M 'P 4/m m m'
_symmetry_Int_Tables_number 123
_symmetry_space_group_name_Hall '-P 4 2'
_cell_length_a 4.029
_cell_length_b 4.029
_cell_length_c 3.946
_cell_angle_alpha 90.00
_cell_angle_beta 90.00
_cell_angle_gamma 90.00
loop_
_atom_site_label
_atom_site_fract_x
_atom_site_fract_y
_atom_site_fract_z
Se1 0.000 0.000 0.000
N1 0.000 0.500 0.500
Cl1 0.500 0.500 0.500
F1 0.500 0.500 0.000
```

Computed properties:
- energy above the lowest structure with this stoichiometry (meV per atom) = 610
- uncorrected formation energy (meV per atom) = 1979

---

Here is a geometry-optimized SeN2ClF structure from Alexandria. Energies are from GGA-PBE.

```
data_SeN2ClF
_chemical_formula_sum 'Se1 N2 Cl1 F1'
_symmetry_space_group_name_H-M 'P 4/m m m'
_symmetry_Int_Tables_number 123
_symmetry_space_group_name_Hall '-P 4 2'
_cell_length_a 3.501
_cell_length_b 3.501
_cell_length_c 7.489
_cell_angle_alpha 90.00
_cell_angle_beta 90.00
_cell_angle_gamma 90.00
loop_
_atom_site_label
_atom_site_fract_x
_atom_site_fract_y
_atom_site_fract_z
Se1 0.000 0.000 0.000
N1 0.000 0.500 0.500
Cl1 0.000 0.000 0.500
F1 0.500 0.500 0.000
```

Computed properties:
- energy above the lowest structure with this stoichiometry (meV per atom) = 659
- uncorrected formation energy (meV per atom) = 2029

---

Here is a geometry-optimized SiNClF2 structure from Alexandria. Energies are from GGA-PBE.

```
data_SiNClF2
_chemical_formula_sum 'Si1 N1 Cl1 F2'
_symmetry_space_group_name_H-M 'P 4/m m m'
_symmetry_Int_Tables_number 123
_symmetry_space_group_name_Hall '-P 4 2'
_cell_length_a 3.687
_cell_length_b 3.687
_cell_length_c 3.755
_cell_angle_alpha 90.00
_cell_angle_beta 90.00
_cell_angle_gamma 90.00
loop_
_atom_site_label
_atom_site_fract_x
_atom_site_fract_y
_atom_site_fract_z
Si1 0.000 0.000 0.000
N1 0.000 0.000 0.500
Cl1 0.500 0.500 0.500
F1 0.000 0.500 0.000
```

Computed properties:
- energy above the lowest structure with this stoichiometry (meV per atom) = 0
- uncorrected formation energy (meV per atom) = -681

---

Here is a geometry-optimized SiN2ClF structure from Alexandria. Energies are from GGA-PBE.

```
data_SiN2ClF
_chemical_formula_sum 'Si1 N2 Cl1 F1'
_symmetry_space_group_name_H-M 'P 4/m m m'
_symmetry_Int_Tables_number 123
_symmetry_space_group_name_Hall '-P 4 2'
_cell_length_a 3.708
_cell_length_b 3.708
_cell_length_c 3.634
_cell_angle_alpha 90.00
_cell_angle_beta 90.00
_cell_angle_gamma 90.00
loop_
_atom_site_label
_atom_site_fract_x
_atom_site_fract_y
_atom_site_fract_z
Si1 0.000 0.000 0.000
N1 0.000 0.500 0.000
Cl1 0.500 0.500 0.500
F1 0.000 0.000 0.500
```

Computed properties:
- energy above the lowest structure with this stoichiometry (meV per atom) = 0
- uncorrected formation energy (meV per atom) = 311

---

Here is a geometry-optimized SiNClF2 structure from Alexandria. Energies are from GGA-PBE.

```
data_SiNClF2
_chemical_formula_sum 'Si1 N1 Cl1 F2'
_symmetry_space_group_name_H-M 'P 4/m m m'
_symmetry_Int_Tables_number 123
_symmetry_space_group_name_Hall '-P 4 2'
_cell_length_a 4.882
_cell_length_b 4.882
_cell_length_c 3.295
_cell_angle_alpha 90.00
_cell_angle_beta 90.00
_cell_angle_gamma 90.00
loop_
_atom_site_label
_atom_site_fract_x
_atom_site_fract_y
_atom_site_fract_z
Si1 0.000 0.000 0.000
N1 0.500 0.500 0.000
Cl1 0.500 0.500 0.500
F1 0.000 0.500 0.500
```

Computed properties:
- energy above the lowest structure with this stoichiometry (meV per atom) = 1355
- uncorrected formation energy (meV per atom) = 674

---

Here is a geometry-optimized SiN2ClF structure from Alexandria. Energies are from GGA-PBE.

```
data_SiN2ClF
_chemical_formula_sum 'Si1 N2 Cl1 F1'
_symmetry_space_group_name_H-M 'P 4/m m m'
_symmetry_Int_Tables_number 123
_symmetry_space_group_name_Hall '-P 4 2'
_cell_length_a 3.876
_cell_length_b 3.876
_cell_length_c 4.109
_cell_angle_alpha 90.00
_cell_angle_beta 90.00
_cell_angle_gamma 90.00
loop_
_atom_site_label
_atom_site_fract_x
_atom_site_fract_y
_atom_site_fract_z
Si1 0.000 0.000 0.000
N1 0.000 0.500 0.500
Cl1 0.500 0.500 0.500
F1 0.500 0.500 0.000
```

Computed properties:
- energy above the lowest structure with this stoichiometry (meV per atom) = 1489
- uncorrected formation energy (meV per atom) = 1800

---

Here is a geometry-optimized SnN2ClF structure from Alexandria. Energies are from GGA-PBE.

```
data_SnN2ClF
_chemical_formula_sum 'Sn1 N2 Cl1 F1'
_symmetry_space_group_name_H-M 'P 4/m m m'
_symmetry_Int_Tables_number 123
_symmetry_space_group_name_Hall '-P 4 2'
_cell_length_a 4.314
_cell_length_b 4.314
_cell_length_c 4.181
_cell_angle_alpha 90.00
_cell_angle_beta 90.00
_cell_angle_gamma 90.00
loop_
_atom_site_label
_atom_site_fract_x
_atom_site_fract_y
_atom_site_fract_z
Sn1 0.000 0.000 0.000
N1 0.000 0.500 0.000
Cl1 0.500 0.500 0.500
F1 0.000 0.000 0.500
```

Computed properties:
- energy above the lowest structure with this stoichiometry (meV per atom) = 0
- uncorrected formation energy (meV per atom) = 672